No. 1
{"formula": "CsBi2Rh", "functional": "PBE", "state": "optimized geometry", "volume_a3_per_cell": 305, "e_above_lowest_polymorph_ev_per_atom": 0.267, "space_group": "I-42d, No. 122", "dos_ef_per_ev_cell": 7.74, "formation_enthalpy_0k_mev_per_atom": 41, "e_tot_ev_per_atom": -3.951, "lattice_angstrom": [[-4.284, 4.284, 4.148], [4.284, -4.284, 4.148], [4.284, 4.284, -4.148]], "species": ["Cs", "Cs", "Bi", "Bi", "Bi", "Bi", "Rh", "Rh"], "frac_coords": [[0.000, 0.000, 0.000], [0.750, 0.250, 0.500], [0.238, 0.625, 0.113], [0.375, 0.488, 0.613], [0.512, 0.125, 0.887], [0.875, 0.762, 0.387], [0.250, 0.750, 0.500], [0.500, 0.500, 0.000]]}

No. 2
{"formula": "Fe2Si2Sb", "functional": "PBE", "state": "optimized geometry", "volume_a3_per_cell": 74, "e_above_lowest_polymorph_ev_per_atom": 0.000, "raw_formation_energy_mev_per_atom": 37, "space_group": "I4/mmm, No. 139", "dos_ef_per_ev_cell": 3.25, "e_tot_ev_per_atom": -6.342, "lattice_angstrom": [[-2.034, 2.034, 4.466], [2.034, -2.034, 4.466], [2.034, 2.034, -4.466]], "species": ["Fe", "Fe", "Si", "Si", "Sb"], "frac_coords": [[0.250, 0.750, 0.500], [0.750, 0.250, 0.500], [0.132, 0.132, 0.000], [0.868, 0.868, 0.000], [0.500, 0.500, 0.000]]}

No. 3
{"formula": "Tb4Nd3In", "functional": "PBE", "state": "optimized geometry", "volume_a3_per_cell": 504, "e_above_lowest_polymorph_ev_per_atom": 0.000, "space_group": "Pmmn, No. 59", "dos_ef_per_ev_cell": 20.27, "formation_enthalpy_0k_mev_per_atom": -100, "e_tot_ev_per_atom": -4.545, "lattice_angstrom": [[4.942, 0.000, 0.000], [0.000, 10.106, 0.000], [0.000, 0.000, 10.100]], "species": ["Tb", "Tb", "Tb", "Tb", "Tb", "Tb", "Tb", "Tb", "Nd", "Nd", "Nd", "Nd", "Nd", "Nd", "In", "In"], "frac_coords": [[0.250, 0.003, 0.125], [0.250, 0.250, 0.875], [0.250, 0.497, 0.125], [0.250, 0.750, 0.872], [0.750, 0.250, 0.128], [0.750, 0.503, 0.875], [0.750, 0.750, 0.125], [0.750, 0.997, 0.875], [0.250, 0.504, 0.621], [0.250, 0.750, 0.377], [0.250, 0.996, 0.621], [0.750, 0.004, 0.379], [0.750, 0.250, 0.623], [0.750, 0.496, 0.379], [0.250, 0.250, 0.368], [0.750, 0.750, 0.632]]}

No. 4
{"formula": "CaHo2Tm", "functional": "PBE", "state": "optimized geometry", "volume_a3_per_cell": 131, "e_above_lowest_polymorph_ev_per_atom": 0.108, "space_group": "Fm-3m, No. 225", "dos_ef_per_ev_cell": 7.66, "formation_enthalpy_0k_mev_per_atom": 177, "e_tot_ev_per_atom": -3.730, "lattice_angstrom": [[0.000, 4.029, 4.029], [4.029, 0.000, 4.029], [4.029, 4.029, 0.000]], "species": ["Ca", "Ho", "Ho", "Tm"], "frac_coords": [[0.000, 0.000, 0.000], [0.250, 0.250, 0.250], [0.750, 0.750, 0.750], [0.500, 0.500, 0.500]]}

No. 5
{"formula": "BaGe3Se", "functional": "PBE", "state": "optimized geometry", "volume_a3_per_cell": 147, "e_above_lowest_polymorph_ev_per_atom": 0.000, "raw_formation_energy_mev_per_atom": 102, "space_group": "Pm-3m, No. 221", "dos_ef_per_ev_cell": 2.01, "e_tot_ev_per_atom": -3.750, "lattice_angstrom": [[5.278, 0.000, 0.000], [0.000, 5.278, 0.000], [0.000, 0.000, 5.278]], "species": ["Ba", "Ge", "Ge", "Ge", "Se"], "frac_coords": [[0.000, 0.000, 0.000], [0.000, 0.500, 0.500], [0.500, 0.000, 0.500], [0.500, 0.500, 0.000], [0.500, 0.500, 0.500]]}

No. 6
{"formula": "TbSmGd2", "functional": "PBE", "state": "optimized geometry", "volume_a3_per_cell": 132, "e_above_lowest_polymorph_ev_per_atom": 0.079, "space_group": "Fm-3m, No. 225", "dos_ef_per_ev_cell": 6.32, "formation_enthalpy_0k_mev_per_atom": 100, "e_tot_ev_per_atom": -9.278, "lattice_angstrom": [[0.000, 4.037, 4.037], [4.037, 0.000, 4.037], [4.037, 4.037, 0.000]], "species": ["Tb", "Sm", "Gd", "Gd"], "frac_coords": [[0.000, 0.000, 0.000], [0.500, 0.500, 0.500], [0.250, 0.250, 0.250], [0.750, 0.750, 0.750]]}

No. 7
{"formula": "GeAu3Cl", "functional": "PBE", "state": "optimized geometry", "volume_a3_per_cell": 121, "e_above_lowest_polymorph_ev_per_atom": 0.535, "raw_formation_energy_mev_per_atom": 981, "space_group": "Pm-3m, No. 221", "dos_ef_per_ev_cell": 3.96, "e_tot_ev_per_atom": -2.279, "lattice_angstrom": [[4.952, 0.000, 0.000], [0.000, 4.952, 0.000], [0.000, 0.000, 4.952]], "species": ["Ge", "Au", "Au", "Au", "Cl"], "frac_coords": [[0.000, 0.000, 0.000], [0.000, 0.500, 0.500], [0.500, 0.000, 0.500], [0.500, 0.500, 0.000], [0.500, 0.500, 0.500]]}

No. 8
{"formula": "RbMg6Sb", "functional": "PBE", "state": "optimized geometry", "volume_a3_per_cell": 230, "e_above_lowest_polymorph_ev_per_atom": 0.038, "raw_formation_energy_mev_per_atom": 69, "space_group": "Amm2, No. 38", "dos_ef_per_ev_cell": 3.47, "e_tot_ev_per_atom": -1.764, "lattice_angstrom": [[5.014, 0.000, 0.000], [0.000, 3.226, 7.112], [0.000, -3.226, 7.112]], "species": ["Rb", "Mg", "Mg", "Mg", "Mg", "Mg", "Mg", "Sb"], "frac_coords": [[0.000, 0.000, 0.000], [0.000, 0.043, 0.506], [0.000, 0.506, 0.043], [0.000, 0.583, 0.583], [0.500, 0.392, 0.905], [0.500, 0.416, 0.416], [0.500, 0.905, 0.392], [0.500, 0.826, 0.826]]}